Record 1
A crystal of CaPb relaxed with PBEsol, computed with SCAN.

Unit cell a=3.617 b=5.521 c=6.456 alpha=103.74 beta=106.27 gamma=90.00
Positions (direct):
1 Pb 0.394 0.273 0.788
2 Pb 0.606 0.727 0.212
3 Ca 0.129 0.243 0.258
4 Ca 0.871 0.757 0.742

ΔH_f (0 K)	-0.67	eV/atom
magnetic moment	0.000	μB per cell
ρ	6.85	g/cm³
DOS at the Fermi energy	0.33	states/eV per atom

---

Record 2
A crystal of CaPb3 relaxed with PBEsol, computed with SCAN.

Unit cell a=3.614 b=3.614 c=10.619 alpha=90.00 beta=90.00 gamma=120.00
Positions (direct):
1 Pb 0.333 0.667 0.753
2 Pb 0.333 0.667 0.247
3 Pb 0.000 0.000 0.500
4 Ca 0.000 0.000 0.000

ΔH_f (0 K)	-0.17	eV/atom
magnetic moment	0.000	μB per cell
ρ	9.15	g/cm³
DOS at the Fermi energy	0.57	states/eV per atom

---

Record 3
A crystal of CaPb relaxed with PBEsol, computed with SCAN.

Unit cell a=6.809 b=9.790 c=10.709 alpha=90.00 beta=90.00 gamma=90.00
Positions (direct):
1 Ca 0.750 0.865 0.180
2 Ca 0.000 0.250 0.117
3 Ca 0.250 0.531 0.623
4 Ca 0.250 0.135 0.820
5 Ca 0.500 0.750 0.883
6 Ca 0.250 0.635 0.180
7 Ca 0.750 0.469 0.377
8 Ca 0.500 0.250 0.117
9 Ca 0.750 0.365 0.820
10 Ca 0.000 0.750 0.883
11 Ca 0.250 0.031 0.377
12 Ca 0.750 0.969 0.623
13 Pb 0.250 0.378 0.357
14 Pb 0.000 0.250 0.571
15 Pb 0.750 0.045 0.920
16 Pb 0.250 0.878 0.643
17 Pb 0.250 0.455 0.920
18 Pb 0.500 0.250 0.571
19 Pb 0.500 0.750 0.429
20 Pb 0.000 0.750 0.429
21 Pb 0.750 0.122 0.357
22 Pb 0.750 0.622 0.643
23 Pb 0.250 0.955 0.080
24 Pb 0.750 0.545 0.080

ΔH_f (0 K)	-0.66	eV/atom
magnetic moment	0.000	μB per cell
ρ	6.90	g/cm³
DOS at the Fermi energy	0.57	states/eV per atom

---

Record 4
A crystal of CaPb3 relaxed with PBEsol, computed with SCAN.

Unit cell a=3.656 b=5.749 c=5.749 alpha=106.25 beta=90.00 gamma=90.00
Positions (direct):
1 Pb 0.000 0.500 0.500
2 Pb 0.500 0.500 0.000
3 Pb 0.500 0.000 0.500
4 Ca 0.000 0.000 0.000

ΔH_f (0 K)	-0.37	eV/atom
magnetic moment	0.000	μB per cell
ρ	9.47	g/cm³
DOS at the Fermi energy	0.52	states/eV per atom

---

Record 5
A crystal of CaPb3 relaxed with PBEsol, computed with SCAN.

Unit cell a=4.687 b=4.864 c=6.057 alpha=113.67 beta=112.76 gamma=90.00
Positions (direct):
1 Pb 0.749 0.249 0.498
2 Pb 0.251 0.751 0.502
3 Pb 0.500 0.500 0.000
4 Ca 0.000 0.000 0.000

ΔH_f (0 K)	-0.40	eV/atom
magnetic moment	0.000	μB per cell
ρ	9.58	g/cm³
DOS at the Fermi energy	0.52	states/eV per atom

---

Record 6
A crystal of CaPb3 relaxed with PBEsol, computed with SCAN.

Unit cell a=4.844 b=4.844 c=4.844 alpha=90.00 beta=90.00 gamma=90.00
Positions (direct):
1 Ca 0.000 0.000 0.000
2 Pb 0.500 0.500 0.000
3 Pb 0.500 0.000 0.500
4 Pb 0.000 0.500 0.500

ΔH_f (0 K)	-0.46	eV/atom
magnetic moment	0.000	μB per cell
ρ	9.66	g/cm³
DOS at the Fermi energy	0.29	states/eV per atom

---

Going through the records in order, we get energy values of -43.3913; -59.4238; -43.3795; -59.6231; -59.6543; -59.7103 eV/atom.